Entry 1:
Material: CoSb2Br
Method: DFT, GGA-PBEsol
State: relaxed

Cell and atoms, written as extended XYZ:
```
4
Lattice="3.2646 0.0000 0.0000 0.0000 3.2646 0.0000 0.0000 0.0000 8.8326" Properties=species:S:1:pos:R:3 pbc="T T T"
Co 0.0000 0.0000 0.0000
Sb 0.0000 0.0000 2.4742
Sb 1.6323 1.6323 7.8975
Br 1.6323 1.6323 5.3604
```

E_tot: -18.18 eV per cell
theoretical density: 6.7 g/cm3
ΔE to the lowest computed polymorph: 289 meV per atom



Entry 2:
Material: Sc2CoSbBr
Method: DFT, GGA-PBEsol
State: relaxed

Cell and atoms, written as extended XYZ:
```
5
Lattice="5.4263 0.0000 0.0000 0.0000 5.4263 0.0000 0.0000 0.0000 4.5274" Properties=species:S:1:pos:R:3 pbc="T T T"
Sc 0.0000 2.7132 0.0000
Sc 2.7132 0.0000 0.0000
Co 0.0000 0.0000 2.2637
Sb 0.0000 0.0000 0.0000
Br 2.7132 2.7132 2.2637
```

E_tot: -26.11 eV per cell
theoretical density: 4.4 g/cm3



Entry 3:
Material: ScCo2Br
Method: DFT, GGA-PBEsol
State: relaxed

Cell and atoms, written as extended XYZ:
```
4
Lattice="2.6143 -4.3672 0.0000 2.6143 4.3672 0.0000 -1.7122 0.0000 2.5565" Properties=species:S:1:pos:R:3 pbc="T T T"
Sc 0.0000 0.0000 0.0000
Co 0.4511 2.1836 1.2783
Co 0.4511 -2.1836 1.2783
Br 2.6143 0.0000 0.0000
```

E_tot: -23.07 eV per cell
theoretical density: 6.9 g/cm3
ΔE to the lowest computed polymorph: 0 meV per atom



no.,E_form (uncorrected) (eV/atom)
1,0.14
2,0.25
3,0.22